Record 1
LiFeC2O: relaxed, GGA+U.

Lattice parameters (Å, degrees): 3.7830 3.7830 3.3499 90.00 90.00 90.00
Closest atoms and distances in Å follow each position.
Positions (direct):
Li 0.0000 0.0000 0.0000  2 O 1.67
Fe 0.5000 0.5000 0.0000  8 C 2.53, 4 Li 2.67
C 0.0000 0.5000 0.5000  2 O 1.89
C 0.5000 0.0000 0.5000  2 O 1.89
O 0.0000 0.0000 0.5000  2 Li 1.67

Calculated values
**Crystal system**: tetragonal
**Total energy**: -23.44 eV for the cell shown
**Symmetry**: P4/mmm (123)

***

Record 2
Na2LiNiF6: relaxed, GGA+U.

Lattice parameters (Å, degrees): 5.3708 5.5197 9.3228 90.00 124.81 90.00
Closest atoms and distances in Å follow each position.
Positions (direct):
Na 0.2342 0.0532 0.2488  6 F 2.31-2.55
Na 0.2342 0.4468 0.7488  6 F 2.31-2.55
Na 0.7658 0.5532 0.2512  6 F 2.31-2.55
Na 0.7658 0.9468 0.7512  6 F 2.31-2.55
Li 0.0000 0.0000 0.5000  6 F 2.06-2.07
Li 0.0000 0.5000 0.0000  6 F 2.06-2.07
Ni 0.5000 0.0000 0.0000  6 F 1.91-1.92
Ni 0.5000 0.5000 0.5000  6 F 1.91-1.92
F 0.1673 0.1966 0.9540  1 Ni 1.92, 1 Li 2.06
F 0.1673 0.3034 0.4540  1 Ni 1.92, 1 Li 2.06
F 0.2591 0.7164 0.9508  1 Ni 1.91, 1 Li 2.07
F 0.2591 0.7836 0.4508  1 Ni 1.91, 1 Li 2.07
F 0.3517 0.0284 0.7593  1 Ni 1.91, 1 Li 2.06
F 0.3517 0.4716 0.2593  1 Ni 1.91, 1 Li 2.06
F 0.6483 0.5284 0.7407  1 Ni 1.91, 1 Li 2.06
F 0.6483 0.9716 0.2407  1 Ni 1.91, 1 Li 2.06
F 0.7409 0.2164 0.5492  1 Ni 1.91, 1 Li 2.07
F 0.7409 0.2836 0.0492  1 Ni 1.91, 1 Li 2.07
F 0.8327 0.6966 0.5460  1 Ni 1.92, 1 Li 2.06
F 0.8327 0.8034 0.0460  1 Ni 1.92, 1 Li 2.06

Calculated values
**Crystal system**: monoclinic
**Total energy**: -85.24 eV for the cell shown
**Symmetry**: P2_1/c (14)